A geometry-optimized ScNiHgRh2 structure, computed with PBE.

Cell: 4.673 4.673 4.443 Å, 90.00 90.00 90.00°
Atoms (fractional coordinates):
Sc 0.000 0.000 0.000
Ni 0.000 0.000 0.500
Hg 0.500 0.500 0.500
Rh 0.000 0.500 0.000
Rh 0.500 0.000 0.000

Properties
Its total energy is -4.722 eV per atom.

***

A geometry-optimized NdNi2Ir structure, computed with PBE.

Cell: 4.244 4.244 4.286 Å, 90.00 90.00 100.53°
Atoms (fractional coordinates):
Nd 0.000 0.000 0.000
Ni 0.318 0.682 0.500
Ni 0.682 0.318 0.500
Ir 0.500 0.500 0.000

Properties
Its total energy is -6.196 eV per atom.

***

A geometry-optimized LiCo2Hg structure, computed with PBE.

Cell: 2.702 4.580 4.540 Å, 90.00 94.21 90.00°
Atoms (fractional coordinates):
Li 0.000 0.000 0.000
Co 0.230 0.500 0.773
Co 0.770 0.500 0.227
Hg 0.500 0.000 0.500

Properties
Its total energy is -3.819 eV per atom.

***

A geometry-optimized BeCrSi2 structure, computed with PBE.

Cell: 7.725 7.725 7.725 Å, 20.06 20.06 20.06°
Atoms (fractional coordinates):
Be 0.000 0.000 0.000
Cr 0.500 0.500 0.500
Si 0.250 0.250 0.250
Si 0.750 0.750 0.750

Properties
The uncorrected formation energy comes out at 0.11 eV/atom.

***

A geometry-optimized HfBePd2 structure, computed with PBE.

Cell: 2.921 2.921 6.865 Å, 90.00 90.00 90.00°
Atoms (fractional coordinates):
Hf 0.000 0.000 0.000
Be 0.000 0.000 0.500
Pd 0.500 0.500 0.296
Pd 0.500 0.500 0.704

Properties
Its total energy is -6.581 eV per atom.

***

A geometry-optimized Tb2Ga2Au3 structure, computed with PBE.

Cell: 5.659 5.659 7.218 Å, 112.28 112.28 42.94°
Atoms (fractional coordinates):
Tb 0.135 0.135 0.267
Tb 0.865 0.865 0.733
Ga 0.154 0.154 0.705
Ga 0.846 0.846 0.295
Au 0.383 0.383 0.062
Au 0.500 0.500 0.500
Au 0.617 0.617 0.938

Properties
As for the energy above the most stable polymorph in this dataset: 0 meV/atom.

***

A geometry-optimized KHoS structure, computed with PBE.

Cell: 15.515 3.781 3.781 Å, 60.31 90.00 90.00°
Atoms (fractional coordinates):
K 0.131 0.000 0.000
K 0.869 0.000 0.000
Ho 0.386 0.612 0.612
Ho 0.614 0.612 0.612
S 0.000 0.665 0.665
S 0.500 0.946 0.946

Properties
The uncorrected formation energy comes out at -0.63 eV/atom.

***

A geometry-optimized MnAl2Zn structure, computed with PBE.

Cell: 2.866 3.790 5.291 Å, 90.00 90.00 90.00°
Atoms (fractional coordinates):
Mn 0.000 0.000 0.000
Al 0.000 0.000 0.503
Al 0.500 0.500 0.782
Zn 0.500 0.500 0.259

Properties
Its total energy is -4.572 eV per atom.

***

A geometry-optimized KMg2Si structure, computed with PBE.

Cell: 6.421 6.421 3.056 Å, 102.65 102.65 118.18°
Atoms (fractional coordinates):
K 0.000 0.000 0.000
Mg 0.000 0.500 0.500
Mg 0.500 0.000 0.500
Si 0.500 0.500 0.000

Properties
The uncorrected formation energy comes out at 0.40 eV/atom.

***

A geometry-optimized HoUCl6 structure, computed with PBE.

Cell: 6.834 6.834 7.382 Å, 62.49 62.48 60.01°
Atoms (fractional coordinates):
Ho 0.000 0.000 0.000
U 0.500 0.500 0.500
Cl 0.098 0.389 0.756
Cl 0.243 0.903 0.245
Cl 0.389 0.756 0.757
Cl 0.611 0.244 0.243
Cl 0.757 0.097 0.755
Cl 0.902 0.611 0.244

Properties
The uncorrected formation energy comes out at -1.94 eV/atom.

***

A geometry-optimized Mn2NiCl structure, computed with PBE.

Cell: 4.926 4.926 4.926 Å, 143.75 118.02 73.97°
Atoms (fractional coordinates):
Mn 0.247 0.247 0.000
Mn 0.753 0.753 0.000
Ni 0.500 0.000 0.500
Cl 0.000 0.500 0.500

Properties
The uncorrected formation energy comes out at 0.42 eV/atom. As for the energy above the most stable polymorph in this dataset: 447 meV/atom.

***

A geometry-optimized TbPrRu2 structure, computed with PBE.

Cell: 3.473 3.473 6.958 Å, 90.00 90.00 90.00°
Atoms (fractional coordinates):
Tb 0.000 0.000 0.000
Pr 0.000 0.000 0.500
Ru 0.500 0.500 0.242
Ru 0.500 0.500 0.758

Properties
Its total energy is -7.131 eV per atom.

***

A geometry-optimized Na2CuP2S6 structure, computed with PBE.

Cell: 6.317 6.317 6.609 Å, 90.00 90.00 120.00°
Atoms (fractional coordinates):
Na 0.333 0.667 0.384
Na 0.667 0.333 0.616
Cu 0.000 0.000 0.000
P 0.333 0.667 0.927
P 0.667 0.333 0.073
S 0.103 0.337 0.771
S 0.234 0.897 0.771
S 0.337 0.234 0.229
S 0.663 0.766 0.771
S 0.766 0.103 0.229
S 0.897 0.663 0.229

Properties
The uncorrected formation energy comes out at -0.34 eV/atom.

***

A geometry-optimized MnPRu2N structure, computed with PBE.

Cell: 4.050 4.050 3.812 Å, 90.00 90.00 90.00°
Atoms (fractional coordinates):
Mn 0.000 0.000 0.000
P 0.500 0.500 0.000
Ru 0.000 0.500 0.500
Ru 0.500 0.000 0.500
N 0.000 0.000 0.500

Properties
The uncorrected formation energy comes out at 0.22 eV/atom.

***

A geometry-optimized Sr2LaCr structure, computed with PBE.

Cell: 4.529 5.598 5.895 Å, 90.00 90.00 90.00°
Atoms (fractional coordinates):
Sr 0.000 0.000 0.000
Sr 0.500 0.500 0.000
La 0.000 0.500 0.500
Cr 0.500 0.000 0.500

Properties
As for the energy above the most stable polymorph in this dataset: 204 meV/atom.

***

A geometry-optimized Tb2Tm5Sc5 structure, computed with PBE.

Cell: 7.613 7.613 10.769 Å, 115.05 115.05 36.84°
Atoms (fractional coordinates):
Tb 0.083 0.083 0.246
Tb 0.917 0.917 0.754
Tm 0.335 0.335 0.500
Tm 0.412 0.412 0.248
Tm 0.500 0.500 0.000
Tm 0.588 0.588 0.752
Tm 0.665 0.665 0.500
Sc 0.000 0.000 0.500
Sc 0.171 0.171 0.001
Sc 0.249 0.249 0.753
Sc 0.751 0.751 0.247
Sc 0.829 0.829 0.999

Properties
As for the energy above the most stable polymorph in this dataset: 0 meV/atom.

***

A geometry-optimized Tc2HgW structure, computed with PBE.

Cell: 2.830 2.830 8.221 Å, 90.00 90.00 90.00°
Atoms (fractional coordinates):
Tc 0.000 0.000 0.000
Tc 0.500 0.500 0.210
Hg 0.500 0.500 0.727
W 0.000 0.000 0.448

Properties
Its total energy is -8.111 eV per atom.

***

A geometry-optimized ZnPRu2 structure, computed with PBE.

Cell: 3.908 3.908 5.479 Å, 100.51 100.51 43.80°
Atoms (fractional coordinates):
Zn 0.000 0.000 0.000
P 0.500 0.500 0.500
Ru 0.243 0.243 0.708
Ru 0.757 0.757 0.292

Properties
As for the energy above the most stable polymorph in this dataset: 114 meV/atom.

***

A geometry-optimized Pr4Dy7Y structure, computed with PBE.

Cell: 6.601 6.896 9.129 Å, 85.07 77.41 81.96°
Atoms (fractional coordinates):
Pr 0.138 0.308 0.285
Pr 0.338 0.886 0.693
Pr 0.662 0.114 0.307
Pr 0.862 0.692 0.715
Dy 0.012 0.253 0.951
Dy 0.181 0.800 0.357
Dy 0.313 0.395 0.618
Dy 0.500 0.000 0.000
Dy 0.687 0.605 0.382
Dy 0.819 0.200 0.643
Dy 0.988 0.747 0.049
Y 0.500 0.500 0.000

Properties
As for the energy above the most stable polymorph in this dataset: 0 meV/atom.

***

A geometry-optimized DyHfTlCd structure, computed with PBE.

Cell: 5.139 5.139 5.139 Å, 60.00 60.00 60.00°
Atoms (fractional coordinates):
Dy 0.000 0.000 0.000
Hf 0.500 0.500 0.500
Tl 0.250 0.250 0.250
Cd 0.750 0.750 0.750

Properties
Its total energy is -4.510 eV per atom.